A plane-wave DFT calculation with PBE-GGA was carried out for a relaxed Li2GaGeS4 crystal.

Lattice parameters (Å, degrees): 6.2016 6.8542 8.0453 90.00 90.00 90.00
Last column: nearest neighbours and their distance in Å.
Positions (direct):
S  0.8889  0.3226  0.2660  1 Ga 2.30, 2 Li 2.45-2.49, 1 Ge 2.46
S  0.8716  0.8418  0.5000  1 Ga 2.30, 1 Ge 2.37, 2 Li 2.44
Ga  0.4994  0.8430  0.0000  4 S 2.30-2.32
S  0.3889  0.6774  0.2340  1 Ga 2.30, 2 Li 2.45-2.49, 1 Ge 2.46
Ge  0.4893  0.8283  0.5000  4 S 2.35-2.46
Li  0.9939  0.6720  0.7501  4 S 2.44-2.49
S  0.3716  0.1582  0.0000  1 Ga 2.30, 1 Ge 2.37, 2 Li 2.44
Ga  0.9994  0.1570  0.5000  4 S 2.30-2.32
S  0.3889  0.6774  0.7660  1 Ga 2.30, 2 Li 2.45-2.49, 1 Ge 2.46
Li  0.4939  0.3280  0.7499  4 S 2.44-2.49
Li  0.4939  0.3280  0.2501  4 S 2.44-2.49
S  0.8889  0.3226  0.7340  1 Ga 2.30, 2 Li 2.45-2.49, 1 Ge 2.46
S  0.8740  0.8452  0.0000  1 Ga 2.32, 1 Ge 2.35, 2 Li 2.45
Ge  0.9893  0.1717  0.0000  4 S 2.35-2.46
S  0.3740  0.1548  0.5000  1 Ga 2.32, 1 Ge 2.35, 2 Li 2.45
Li  0.9939  0.6720  0.2499  4 S 2.44-2.49

Results
The calculation puts the mass density at 2.76 g cm⁻³. As for the formation energy without anion corrections: -0.80 eV per atom. For the raw total energy, the calculation gives -4.3004 eV per atom. As for the size of the total moment: 0.00 μB per cell.